1.
ScV (PBE, optimized geometry); polymorph energy (0 for the lowest one) = 0.000 eV per atom; Fermi-level density of states = 0.912 states/eV/atom; total magnetization = 0.00 μB/f.u.; energy of formation from the pure elements = 0.0857 eV/atom
1.0
-3.0516 0.2779 -0.9820
0.5294 -2.2162 -2.2721
-1.9785 -5.2521 4.6618
Sc V
2 2
direct
0.5000 0.0000 0.3239 Sc
0.0000 0.5000 0.6761 Sc
0.5000 0.0000 0.9260 V
0.0000 0.5000 0.0740 V

2.
ScV (PBE, optimized geometry); polymorph energy (0 for the lowest one) = 0.695 eV per atom; Fermi-level density of states = 1.242 states/eV/atom; total magnetization = 0.69 μB/f.u.; energy of formation from the pure elements = 0.7811 eV/atom
1.0
5.3645 0.0000 0.0000
0.0000 5.3645 0.0000
0.0000 0.0000 5.4983
Sc V
4 4
direct
0.3178 0.3178 0.5000 Sc
0.1822 0.8178 0.0000 Sc
0.6822 0.6822 0.5000 Sc
0.8178 0.1822 0.0000 Sc
0.1520 0.8480 0.5000 V
0.6520 0.6520 0.0000 V
0.8480 0.1520 0.5000 V
0.3480 0.3480 0.0000 V

3.
ScV (PBE, optimized geometry); polymorph energy (0 for the lowest one) = 2.062 eV per atom; Fermi-level density of states = 1.448 states/eV/atom; total magnetization = 5.02 μB/f.u.; energy of formation from the pure elements = 2.1475 eV/atom
1.0
7.8567 0.0000 0.0000
0.0000 7.8567 0.0000
0.0000 0.0000 7.8567
V Sc
6 6
direct
0.5000 0.0000 0.2500 V
0.2500 0.5000 0.0000 V
0.7500 0.5000 0.0000 V
0.5000 0.0000 0.7500 V
0.0000 0.7500 0.5000 V
0.0000 0.2500 0.5000 V
0.5000 0.7500 0.0000 Sc
0.2500 0.0000 0.5000 Sc
0.0000 0.5000 0.2500 Sc
0.5000 0.2500 0.0000 Sc
0.7500 0.0000 0.5000 Sc
0.0000 0.5000 0.7500 Sc

4.
ScV (PBE, optimized geometry); polymorph energy (0 for the lowest one) = 0.156 eV per atom; Fermi-level density of states = 1.879 states/eV/atom; total magnetization = 0.00 μB/f.u.; energy of formation from the pure elements = 0.2416 eV/atom
1.0
-2.9550 -0.5695 0.4538
1.1176 -2.6608 3.9375
-1.0510 12.3312 8.6312
V Sc
6 6
direct
0.0000 0.7547 0.8752 V
0.0000 0.2449 0.5000 V
0.5000 0.2453 0.3752 V
0.5000 0.2453 0.6248 V
0.5000 0.7551 0.0000 V
0.0000 0.7547 0.1248 V
0.5000 0.2537 0.1869 Sc
0.0000 0.2552 0.0000 Sc
0.0000 0.7463 0.6869 Sc
0.0000 0.7463 0.3131 Sc
0.5000 0.2537 0.8131 Sc
0.5000 0.7448 0.5000 Sc

5.
ScV2 (PBE, optimized geometry); Fermi-level density of states = 0.762 states/eV/atom; total magnetization = 0.00 μB/f.u.; energy of formation from the pure elements = 0.2203 eV/atom
1.0
2.9362 0.0000 0.0068
0.0000 4.9338 0.0000
-0.3600 0.0000 6.9110
Sc V
2 4
direct
0.0000 0.5000 0.0000 Sc
0.0000 0.0000 0.5000 Sc
0.6217 0.0000 0.1404 V
0.3783 0.5000 0.3596 V
0.6217 0.5000 0.6404 V
0.3783 0.0000 0.8596 V

6.
ScV2 (PBE, optimized geometry); Fermi-level density of states = 0.970 states/eV/atom; total magnetization = 0.00 μB/f.u.; energy of formation from the pure elements = 0.1092 eV/atom
1.0
-0.9218 -2.7175 1.4572
2.7227 -1.4311 -0.9466
1.3005 3.5368 3.8645
V Sc
2 1
direct
0.7000 0.7000 0.4000 V
0.3000 0.3000 0.6000 V
0.0000 0.0000 0.0000 Sc